[1]
YZnNiHg: relaxed, PBE-GGA.

Cell and atoms, written as extended XYZ:
```
4
Lattice="-0.0677 -4.6495 -0.9735 1.4676 -3.1307 3.2580 -3.1444 -2.8332 2.1578" Properties=species:S:1:pos:R:3 pbc="T T T"
Zn 0.0000 0.0000 0.0000
Hg -0.4361 -2.6533 1.1106
Ni -1.3084 -7.9600 3.3317
Y -0.8723 -5.3067 2.2211
```

Summary:
Total moment: 0.00 Bohr magnetons per cell
ΔE_f: -0.20 eV per atom


[2]
Y3HfTe2C2: relaxed, PBE-GGA.

Cell and atoms, written as extended XYZ:
```
8
Lattice="3.7348 0.0000 0.0000 -1.8674 3.2344 0.0000 0.0000 0.0000 13.9109" Properties=species:S:1:pos:R:3 pbc="T T T"
Y 0.0000 2.1563 5.6039
Y 1.8674 1.0781 8.2443
Y 1.8674 1.0781 12.6857
Te 1.8674 1.0781 3.2815
Te 0.0000 2.1563 10.4884
C 0.0000 0.0000 6.8949
C 0.0000 0.0000 0.2303
Hf 0.0000 2.1563 1.2592
```

Summary:
DFT total energy: -7.607 eV per atom
Total moment: 0.01 Bohr magnetons per cell


[3]
RbAgTe2PtS: relaxed, PBE-GGA.

Cell and atoms, written as extended XYZ:
```
12
Lattice="2.0582 -7.5550 0.0000 2.0582 7.5550 0.0000 0.0000 0.0000 11.0036" Properties=species:S:1:pos:R:3 pbc="T T T"
Rb 2.0582 3.7409 8.2527
Rb 2.0582 -3.7409 2.7509
S 2.0582 6.8070 2.7509
S 2.0582 -6.8070 8.2527
Ag 2.0582 0.7018 2.7509
Ag 2.0582 -0.7018 8.2527
Pt 0.0000 0.0000 0.0000
Pt 0.0000 0.0000 5.5018
Te 2.0582 -1.7491 10.7964
Te 2.0582 1.7491 5.2946
Te 2.0582 1.7491 0.2073
Te 2.0582 -1.7491 5.7091
```

Summary:
DFT total energy: -3.661 eV per atom
Total moment: 0.01 Bohr magnetons per cell